(1)
# SiNiRh

A relaxed SiNiRh crystal (GGA-PBEsol, Alexandria via LeMat-Bulk).

Cell and atoms, written as POSCAR:
```
SiNiRh
1.0
3.864 0.000 0.000
1.932 3.347 0.000
1.932 1.116 3.155
Ni Rh Si
1 1 1
Direct
0.250 0.250 0.250
0.000 0.000 0.000
0.500 0.500 0.500
```

## Properties
Its formation energy from raw total energies is -159.9 meV per atom. The space group is F-43m, No. 216.

---

(2)
# BeCdMo2

A relaxed BeCdMo2 crystal (GGA-PBEsol, Alexandria via LeMat-Bulk).

Cell and atoms, written as POSCAR:
```
BeCdMo2
1.0
3.440 0.000 0.000
0.000 3.917 0.000
0.000 0.000 4.371
Be Mo Cd
1 2 1
Direct
0.500 0.000 0.500
0.000 0.000 0.000
0.500 0.500 0.000
0.000 0.500 0.500
```

## Properties
The space group is Pmmm, No. 47. The value obtained for the energy above the most stable polymorph in this dataset is 107 meV per atom.

---

(3)
# SrScSb2

A relaxed SrScSb2 crystal (GGA-PBEsol, Alexandria via LeMat-Bulk).

Cell and atoms, written as POSCAR:
```
SrScSb2
1.0
4.345 0.000 0.000
2.173 3.763 0.000
2.173 1.254 7.283
Sb Sc Sr
2 1 1
Direct
0.735 0.735 0.794
0.265 0.265 0.206
0.000 0.000 0.000
0.500 0.500 0.500
```

## Properties
Its formation energy from raw total energies is -871.7 meV per atom. The space group is R-3m, No. 166. The value obtained for the energy above the most stable polymorph in this dataset is 0 meV per atom.

---

(4)
# In2PRh

A relaxed In2PRh crystal (GGA-PBEsol, Alexandria via LeMat-Bulk).

Cell and atoms, written as POSCAR:
```
In2PRh
1.0
-0.335 1.742 -3.814
2.191 -3.189 -1.649
-4.272 -1.258 2.120
In P Rh
2 1 1
Direct
0.750 0.250 0.500
0.250 0.750 0.500
0.500 0.500 0.000
0.000 0.000 0.000
```

## Properties
The space group is I4/mmm, No. 139.

---

(5)
# MgZn4Hg

A relaxed MgZn4Hg crystal (GGA-PBEsol, Alexandria via LeMat-Bulk).

Cell and atoms, written as POSCAR:
```
MgZn4Hg
1.0
5.189 0.000 0.000
2.595 4.494 0.000
2.595 1.498 4.237
Mg Zn Hg
1 4 1
Direct
0.000 0.000 0.000
0.374 0.374 0.374
0.374 0.374 0.877
0.877 0.374 0.374
0.374 0.877 0.374
0.750 0.750 0.750
```

## Properties
The space group is F-43m, No. 216.

---

(6)
# CrSi3Ni

A relaxed CrSi3Ni crystal (GGA-PBEsol, Alexandria via LeMat-Bulk).

Cell and atoms, written as POSCAR:
```
CrSi3Ni
1.0
-2.464 1.283 -3.288
-3.086 -2.730 1.247
-1.713 3.071 2.483
Ni Si Cr
1 3 1
Direct
0.500 0.500 0.500
0.000 0.500 0.000
0.000 0.000 0.500
0.500 0.000 0.000
0.000 0.000 0.000
```

## Properties
Its formation energy from raw total energies is 644.6 meV per atom. The space group is Pm-3m, No. 221.

---

(7)
# CaCdRu2

A relaxed CaCdRu2 crystal (GGA-PBEsol, Alexandria via LeMat-Bulk).

Cell and atoms, written as POSCAR:
```
CaCdRu2
1.0
2.637 0.000 0.000
0.000 5.265 -0.003
0.000 -1.978 4.879
Ca Cd Ru
1 1 2
Direct
0.500 0.000 0.000
0.500 0.500 0.500
0.000 0.500 0.000
0.000 0.000 0.500
```

## Properties
The space group is Cmmm, No. 65.

---

(8)
# Si2Pd9

A relaxed Si2Pd9 crystal (GGA-PBEsol, Alexandria via LeMat-Bulk).

Cell and atoms, written as POSCAR:
```
Si2Pd9
1.0
7.387 0.000 0.000
0.000 9.016 0.000
0.000 0.000 9.387
Si Pd
8 36
Direct
0.250 0.367 0.212
0.750 0.633 0.788
0.250 0.867 0.288
0.750 0.133 0.712
0.250 0.227 0.821
0.750 0.773 0.179
0.250 0.727 0.679
0.750 0.273 0.321
0.065 0.103 0.319
0.565 0.897 0.681
0.435 0.603 0.181
0.935 0.397 0.819
0.935 0.897 0.681
0.435 0.103 0.319
0.565 0.397 0.819
0.065 0.603 0.181
0.056 0.389 0.407
0.556 0.611 0.593
0.444 0.889 0.093
0.944 0.111 0.907
0.944 0.611 0.593
0.444 0.389 0.407
0.556 0.111 0.907
0.056 0.889 0.093
0.058 0.182 0.620
0.558 0.818 0.380
0.442 0.682 0.880
0.942 0.318 0.120
0.942 0.818 0.380
0.442 0.182 0.620
0.558 0.318 0.120
0.058 0.682 0.880
0.250 0.148 0.068
0.750 0.852 0.932
0.250 0.648 0.432
0.750 0.352 0.568
0.250 0.448 0.664
0.750 0.552 0.336
0.250 0.948 0.836
0.750 0.052 0.164
0.250 0.442 0.970
0.750 0.558 0.030
0.250 0.942 0.530
0.750 0.058 0.470
```

## Properties
Its formation energy from raw total energies is -484.4 meV per atom. The space group is Pnma, No. 62.

---

(9)
# AlP2PbBr

A relaxed AlP2PbBr crystal (GGA-PBEsol, Alexandria via LeMat-Bulk).

Cell and atoms, written as POSCAR:
```
AlP2PbBr
1.0
5.085 0.000 0.000
0.000 5.085 0.000
0.000 0.000 5.987
Pb P Al Br
1 2 1 1
Direct
0.000 0.000 0.000
0.000 0.500 0.000
0.500 0.000 0.000
0.000 0.000 0.500
0.500 0.500 0.500
```

## Properties
Its formation energy from raw total energies is 1128.8 meV per atom. The space group is P4/mmm, No. 123.

---

(10)
# Tb2Ge5Ir3

A relaxed Tb2Ge5Ir3 crystal (GGA-PBEsol, Alexandria via LeMat-Bulk).

Cell and atoms, written as POSCAR:
```
Tb2Ge5Ir3
1.0
-0.561 -5.081 -3.042
6.049 -5.325 1.964
-3.773 -5.802 4.572
Tb Ge Ir
4 10 6
Direct
0.366 0.860 0.409
0.634 0.140 0.591
0.866 0.409 0.860
0.134 0.591 0.140
0.750 0.500 0.500
0.250 0.500 0.500
0.527 0.223 0.223
0.973 0.777 0.777
0.473 0.777 0.777
0.027 0.223 0.223
0.098 0.065 0.740
0.902 0.935 0.260
0.598 0.740 0.065
0.402 0.260 0.935
0.750 0.000 0.000
0.250 0.000 0.000
0.142 0.247 0.469
0.858 0.753 0.531
0.642 0.469 0.247
0.358 0.531 0.753
```

## Properties
The space group is Ibam, No. 72.

---

(11)
# Ca4Mg3FeSi8O24

A relaxed Ca4Mg3FeSi8O24 crystal (GGA-PBEsol, Alexandria via LeMat-Bulk).

Cell and atoms, written as POSCAR:
```
Ca4Mg3FeSi8O24
1.0
-5.264 0.051 0.000
1.266 -6.266 -1.727
2.587 -2.750 12.696
Ca Mg Fe Si O
4 3 1 8 24
Direct
0.098 0.697 0.850
0.601 0.700 0.349
0.397 0.297 0.649
0.901 0.303 0.150
0.296 0.091 0.046
0.704 0.908 0.955
0.206 0.911 0.455
0.797 0.095 0.547
0.865 0.620 0.596
0.365 0.620 0.096
0.040 0.191 0.811
0.543 0.193 0.309
0.634 0.380 0.904
0.138 0.383 0.403
0.457 0.805 0.691
0.960 0.809 0.190
0.168 0.628 0.667
0.671 0.631 0.166
0.810 0.332 0.816
0.314 0.335 0.314
0.328 0.369 0.834
0.832 0.370 0.333
0.687 0.666 0.685
0.189 0.668 0.185
0.731 0.387 0.555
0.233 0.386 0.055
0.015 0.107 0.695
0.518 0.112 0.192
0.767 0.613 0.945
0.269 0.616 0.443
0.483 0.886 0.808
0.984 0.891 0.307
0.871 0.795 0.513
0.370 0.796 0.013
0.040 0.026 0.899
0.540 0.026 0.396
0.629 0.203 0.987
0.138 0.207 0.485
0.451 0.971 0.603
0.960 0.974 0.102
```

## Properties
Its formation energy from raw total energies is -2852.0 meV per atom. The space group is P1, No. 1.

---

(12)
# HfScO2F

A relaxed HfScO2F crystal (GGA-PBEsol, Alexandria via LeMat-Bulk).

Cell and atoms, written as POSCAR:
```
HfScO2F
1.0
-1.871 -0.706 -3.554
0.412 -4.016 0.581
-3.635 -0.093 1.933
Sc Hf O F
1 1 2 1
Direct
0.500 0.500 0.500
0.000 0.000 0.000
0.000 0.500 0.000
0.500 0.000 0.000
0.000 0.000 0.500
```

## Properties
Its formation energy from raw total energies is -2468.1 meV per atom. The space group is P4/mmm, No. 123.

---

(13)
# MnOsW2

A relaxed MnOsW2 crystal (GGA-PBEsol, Alexandria via LeMat-Bulk).

Cell and atoms, written as POSCAR:
```
MnOsW2
1.0
4.337 0.000 0.000
2.168 3.756 0.000
2.168 1.252 3.541
Mn Os W
1 1 2
Direct
0.500 0.500 0.500
0.750 0.750 0.750
0.000 0.000 0.000
0.250 0.250 0.250
```

## Properties
The space group is F-43m, No. 216. The value obtained for the energy above the most stable polymorph in this dataset is 0 meV per atom.

---

(14)
# Cr4CoAs

A relaxed Cr4CoAs crystal (GGA-PBEsol, Alexandria via LeMat-Bulk).

Cell and atoms, written as POSCAR:
```
Cr4CoAs
1.0
4.644 0.000 0.000
2.322 4.022 0.000
2.322 1.341 3.792
As Co Cr
1 1 4
Direct
0.750 0.750 0.750
0.000 0.000 0.000
0.375 0.375 0.375
0.375 0.375 0.874
0.874 0.375 0.375
0.375 0.874 0.375
```

## Properties
The space group is F-43m, No. 216.

---

(15)
# LaGeIr

A relaxed LaGeIr crystal (GGA-PBEsol, Alexandria via LeMat-Bulk).

Cell and atoms, written as POSCAR:
```
LaGeIr
1.0
4.324 0.000 0.000
0.000 4.324 0.000
-2.162 -2.162 7.090
Ge Ir La
2 2 2
Direct
0.085 0.585 0.169
0.835 0.835 0.669
0.912 0.412 0.825
0.662 0.662 0.325
0.505 0.005 0.010
0.255 0.255 0.510
```

## Properties
The space group is I4_1md, No. 109.

---

(16)
# BaGaSCl2

A relaxed BaGaSCl2 crystal (GGA-PBEsol, Alexandria via LeMat-Bulk).

Cell and atoms, written as POSCAR:
```
BaGaSCl2
1.0
5.847 0.000 0.000
0.000 5.847 0.000
0.000 0.000 5.892
S Ba Ga Cl
1 1 1 2
Direct
0.000 0.000 0.500
0.000 0.000 0.000
0.500 0.500 0.500
0.000 0.500 0.000
0.500 0.000 0.000
```

## Properties
Its formation energy from raw total energies is -772.0 meV per atom. The space group is P4/mmm, No. 123. The value obtained for the energy above the most stable polymorph in this dataset is 674 meV per atom.

---

(17)
# CaZrSi

A relaxed CaZrSi crystal (GGA-PBEsol, Alexandria via LeMat-Bulk).

Cell and atoms, written as POSCAR:
```
CaZrSi
1.0
3.644 0.000 0.000
0.000 3.644 0.000
-1.822 -1.822 5.570
Ca Si Zr
1 1 1
Direct
0.999 0.999 0.998
0.721 0.721 0.443
0.279 0.279 0.559
```

## Properties
Its formation energy from raw total energies is -161.7 meV per atom. The space group is I4mm, No. 107.

---

(18)
# WC2F

A relaxed WC2F crystal (GGA-PBEsol, Alexandria via LeMat-Bulk).

Cell and atoms, written as POSCAR:
```
WC2F
1.0
4.754 0.000 0.000
0.000 4.754 0.000
-2.377 -2.377 4.792
C W F
4 2 2
Direct
0.327 0.875 0.250
0.923 0.375 0.250
0.125 0.077 0.750
0.625 0.673 0.750
0.250 0.750 0.500
0.000 0.000 0.000
0.750 0.250 0.500
0.500 0.500 0.000
```

## Properties
Its formation energy from raw total energies is 1244.9 meV per atom. The space group is I-42d, No. 122.

---

(19)
# YTiNi2

A relaxed YTiNi2 crystal (GGA-PBEsol, Alexandria via LeMat-Bulk).

Cell and atoms, written as POSCAR:
```
YTiNi2
1.0
-3.460 -1.869 -2.107
-3.269 -1.922 2.350
-4.027 1.910 0.195
Y Ni Ti
1 2 1
Direct
0.500 0.500 0.500
0.250 0.250 0.250
0.750 0.750 0.750
0.000 0.000 0.000
```

## Properties
The space group is Fm-3m, No. 225.

---

(20)
# Ta2MoW

A relaxed Ta2MoW crystal (GGA-PBEsol, Alexandria via LeMat-Bulk).

Cell and atoms, written as POSCAR:
```
Ta2MoW
1.0
2.801 0.000 0.001
0.000 4.513 0.000
-0.990 0.000 5.190
Mo W Ta
1 1 2
Direct
0.252 0.500 0.748
0.493 0.000 0.502
0.010 0.000 0.997
0.745 0.500 0.253
```

## Properties
The space group is Pm, No. 6.

---

no.,total energy (eV/cell)
1,-20.52
2,-27.19
3,-21.05
4,-19.52
5,-8.83
6,-30.42
7,-21.45
8,-281.80
9,-15.90
10,-143.73
11,-308.68
12,-41.87
13,-48.93
14,-51.44
15,-45.15
16,-17.75
17,-17.45
18,-60.09
19,-28.31
20,-51.03